First-principles (PBE-GGA) data for Ca2Ga2Hg after structural relaxation, as listed in Alexandria via LeMat-Bulk.

Geometry as CIF:
```
data_Ca2Ga2Hg
_symmetry_space_group_name_H-M 'C 1 2/m 1'
_symmetry_Int_Tables_number 12
_cell_length_a 11.183
_cell_length_b 4.603
_cell_length_c 10.932
_cell_angle_alpha 90.00
_cell_angle_beta 117.34
_cell_angle_gamma 90.00
loop_
_symmetry_equiv_pos_as_xyz
'x,y,z'
'-x,-y,-z'
'-x,y,-z'
'x,-y,z'
'x+1/2,y+1/2,z'
'-x+1/2,-y+1/2,-z'
'-x+1/2,y+1/2,-z'
'x+1/2,-y+1/2,z'
loop_
_atom_site_label
_atom_site_fract_x
_atom_site_fract_y
_atom_site_fract_z
Ca1 0.012 0.000 0.328
Ca2 0.187 0.000 0.104
Ga1 0.026 0.500 0.894
Ga2 0.131 0.500 0.560
Hg1 0.224 0.500 0.342
```

Computed properties:
Energy of formation in meV/atom: -464
Electronic total energy in eV for the cell shown: -50.717
V in A^3/atom: 25.0
Energy relative to the lowest polymorph listed for this composition in meV per atom: 0

=====

First-principles (PBE-GGA) data for Ca4GaHg2 after structural relaxation, as listed in Alexandria via LeMat-Bulk.

Geometry as CIF:
```
data_Ca4GaHg2
_symmetry_space_group_name_H-M 'R -3 m'
_symmetry_Int_Tables_number 166
_symmetry_space_group_name_Hall '-R 3 2"'
_cell_length_a 5.2763
_cell_length_b 5.2763
_cell_length_c 26.1123
_cell_angle_alpha 90.00
_cell_angle_beta 90.00
_cell_angle_gamma 120.00
loop_
_atom_site_label
_atom_site_fract_x
_atom_site_fract_y
_atom_site_fract_z
Ca1 0.0000 0.0000 0.1235
Ca2 0.0000 0.0000 0.3736
Ga1 0.0000 0.0000 0.0000
Hg1 0.0000 0.0000 0.2490
```

Computed properties:
Energy of formation in meV/atom: -429
Electronic total energy in eV for the cell shown: -43.911
V in A^3/atom: 30.0

=====

First-principles (PBE-GGA) data for Ca2Ga2Hg after structural relaxation, as listed in Alexandria via LeMat-Bulk.

Geometry as CIF:
```
data_Ca2Ga2Hg
_symmetry_space_group_name_H-M 'P 4/m b m'
_symmetry_Int_Tables_number 127
_symmetry_space_group_name_Hall '-P 4 2ab'
_cell_length_a 8.141
_cell_length_b 8.141
_cell_length_c 3.807
_cell_angle_alpha 90.00
_cell_angle_beta 90.00
_cell_angle_gamma 90.00
loop_
_atom_site_label
_atom_site_fract_x
_atom_site_fract_y
_atom_site_fract_z
Ca1 0.184 0.316 0.000
Ga1 0.112 0.612 0.500
Hg1 0.000 0.000 0.500
```

Computed properties:
Energy of formation in meV/atom: -390
Electronic total energy in eV for the cell shown: -24.615
V in A^3/atom: 25.2
Energy relative to the lowest polymorph listed for this composition in meV per atom: 74

=====

First-principles (PBE-GGA) data for Ca3Ga2Hg after structural relaxation, as listed in Alexandria via LeMat-Bulk.

Geometry as CIF:
```
data_Ca3Ga2Hg
_symmetry_space_group_name_H-M 'P 4/m m m'
_symmetry_Int_Tables_number 123
_symmetry_space_group_name_Hall '-P 4 2'
_cell_length_a 3.732
_cell_length_b 3.732
_cell_length_c 11.019
_cell_angle_alpha 90.00
_cell_angle_beta 90.00
_cell_angle_gamma 90.00
loop_
_atom_site_label
_atom_site_fract_x
_atom_site_fract_y
_atom_site_fract_z
Ca1 0.000 0.000 0.000
Ca2 0.000 0.000 0.325
Ga1 0.500 0.500 0.159
Hg1 0.500 0.500 0.500
```

Computed properties:
Energy of formation in meV/atom: -483
Electronic total energy in eV for the cell shown: -15.260
V in A^3/atom: 25.6

=====

First-principles (PBE-GGA) data for Ca4Ga3Hg after structural relaxation, as listed in Alexandria via LeMat-Bulk.

Geometry as CIF:
```
data_Ca4Ga3Hg
_symmetry_space_group_name_H-M 'P m m 2'
_symmetry_Int_Tables_number 25
_cell_length_a 4.038
_cell_length_b 4.527
_cell_length_c 11.721
_cell_angle_alpha 90.00
_cell_angle_beta 90.00
_cell_angle_gamma 90.00
loop_
_symmetry_equiv_pos_as_xyz
'x,y,z'
'-x,-y,z'
'-x,y,z'
'x,-y,z'
loop_
_atom_site_label
_atom_site_fract_x
_atom_site_fract_y
_atom_site_fract_z
Ca1 0.000 0.000 0.000
Ca2 0.000 0.500 0.289
Ca3 0.500 0.000 0.493
Ca4 0.500 0.500 0.794
Ga1 0.000 0.500 0.566
Ga2 0.500 0.000 0.211
Ga3 0.500 0.500 0.077
Hg1 0.000 0.000 0.719
```

Computed properties:
Energy of formation in meV/atom: -464
Electronic total energy in eV for the cell shown: -21.100
V in A^3/atom: 26.8

=====

First-principles (PBE-GGA) data for Ca4Ga2Hg after structural relaxation, as listed in Alexandria via LeMat-Bulk.

Geometry as CIF:
```
data_Ca4Ga2Hg
_symmetry_space_group_name_H-M 'I 4/m m m'
_symmetry_Int_Tables_number 139
_symmetry_space_group_name_Hall '-I 4 2'
_cell_length_a 5.835
_cell_length_b 5.835
_cell_length_c 14.590
_cell_angle_alpha 90.00
_cell_angle_beta 90.00
_cell_angle_gamma 90.00
loop_
_atom_site_label
_atom_site_fract_x
_atom_site_fract_y
_atom_site_fract_z
Ca1 0.000 0.000 0.207
Ca2 0.000 0.500 0.000
Ga1 0.000 0.000 0.410
Hg1 0.000 0.000 0.000
```

Computed properties:
Energy of formation in meV/atom: -129
Electronic total energy in eV for the cell shown: -30.535
V in A^3/atom: 35.5
Energy relative to the lowest polymorph listed for this composition in meV per atom: 246

=====

First-principles (PBE-GGA) data for Ca7Ga2Hg2 after structural relaxation, as listed in Alexandria via LeMat-Bulk.

Geometry as CIF:
```
data_Ca7Ga2Hg2
_symmetry_space_group_name_H-M 'C m m m'
_symmetry_Int_Tables_number 65
_symmetry_space_group_name_Hall '-C 2 2'
_cell_length_a 7.774
_cell_length_b 11.602
_cell_length_c 8.010
_cell_angle_alpha 90.00
_cell_angle_beta 90.00
_cell_angle_gamma 90.00
loop_
_atom_site_label
_atom_site_fract_x
_atom_site_fract_y
_atom_site_fract_z
Ca1 0.000 0.000 0.000
Ca2 0.000 0.500 0.272
Ca3 0.250 0.250 0.289
Ga1 0.162 0.000 0.500
Hg1 0.000 0.300 0.000
```

Computed properties:
Energy of formation in meV/atom: -218
Electronic total energy in eV for the cell shown: -46.126
V in A^3/atom: 32.8

=====

First-principles (PBE-GGA) data for Ca6GaHg5 after structural relaxation, as listed in Alexandria via LeMat-Bulk.

Geometry as CIF:
```
data_Ca6GaHg5
_symmetry_space_group_name_H-M 'C 1 2/m 1'
_symmetry_Int_Tables_number 12
_cell_length_a 16.840
_cell_length_b 7.601
_cell_length_c 5.324
_cell_angle_alpha 90.00
_cell_angle_beta 108.35
_cell_angle_gamma 90.00
loop_
_symmetry_equiv_pos_as_xyz
'x,y,z'
'-x,-y,-z'
'-x,y,-z'
'x,-y,z'
'x+1/2,y+1/2,z'
'-x+1/2,-y+1/2,-z'
'-x+1/2,y+1/2,-z'
'x+1/2,-y+1/2,z'
loop_
_atom_site_label
_atom_site_fract_x
_atom_site_fract_y
_atom_site_fract_z
Ca1 0.000 0.246 0.000
Ca2 0.165 0.248 0.665
Ga1 0.000 0.000 0.500
Hg1 0.000 0.500 0.500
Hg2 0.165 0.500 0.165
Hg3 0.167 0.000 0.166
```

Computed properties:
Energy of formation in meV/atom: -532
Electronic total energy in eV for the cell shown: -45.864
V in A^3/atom: 27.0